Computed, not measured: an optimized crystal structure of PrNdNO at the GGA-PBE level of DFT.

The structure in POSCAR format:
```
PrNdNO
1.0
4.3677 0.0000 0.0000
0.0000 4.3677 0.0000
0.0000 0.0000 8.4995
O Pr N Nd
2 2 2 2
Direct
0.7500 0.2500 0.0000
0.2500 0.7500 0.0000
0.7500 0.7500 0.8848
0.2500 0.2500 0.1152
0.7500 0.7500 0.3681
0.2500 0.2500 0.6319
0.7500 0.2500 0.5000
0.2500 0.7500 0.5000
```

Calculated values
The value obtained for the magnetic moment is 1.6 μB/cell. For the excess energy over the best structure of this formula in the dataset, the calculation gives 462.0 meV/atom. For the calculated volume, the calculation gives 162.1 Å³ per cell. The value obtained for the calculated total energy is -7.237 eV/atom. As for the space-group type: P4/nmm (129).